{
  "formula": "Pu2Cu2Au",
  "functional": "PBE-GGA",
  "state": "optimized geometry",
  "ef_mev_per_atom": -99,
  "polymorph_energy_mev_per_atom": 33,
  "lattice_angstrom": [[6.932, 0.000, 0.000], [0.000, 6.932, 0.000], [0.000, 0.000, 4.263]],
  "species": ["Pu", "Pu", "Pu", "Pu", "Cu", "Cu", "Cu", "Cu", "Au", "Au"],
  "fractional_positions": [[0.175, 0.325, 0.000], [0.325, 0.825, 0.000], [0.675, 0.175, 0.000], [0.825, 0.675, 0.000], [0.125, 0.625, 0.500], [0.375, 0.125, 0.500], [0.625, 0.875, 0.500], [0.875, 0.375, 0.500], [0.000, 0.000, 0.500], [0.500, 0.500, 0.500]]
}

***

{
  "formula": "TlTc2Rh",
  "functional": "PBE-GGA",
  "state": "optimized geometry",
  "ef_mev_per_atom": 483,
  "polymorph_energy_mev_per_atom": 237,
  "lattice_angstrom": [[0.000, 3.207, 3.207], [3.207, 0.000, 3.207], [3.207, 3.207, 0.000]],
  "species": ["Tl", "Tc", "Tc", "Rh"],
  "fractional_positions": [[0.000, 0.000, 0.000], [0.500, 0.500, 0.500], [0.750, 0.750, 0.750], [0.250, 0.250, 0.250]]
}

***

{
  "formula": "SrO2F",
  "functional": "PBE-GGA",
  "state": "optimized geometry",
  "polymorph_energy_mev_per_atom": 942,
  "raw_formation_energy_mev_per_atom": -1118,
  "lattice_angstrom": [[0.000, 3.019, 3.019], [3.019, 0.000, 3.019], [3.019, 3.019, 0.000]],
  "species": ["Sr", "O", "O", "F"],
  "fractional_positions": [[0.000, 0.000, 0.000], [0.250, 0.250, 0.250], [0.750, 0.750, 0.750], [0.500, 0.500, 0.500]]
}

***

{
  "formula": "GdYSnIr",
  "functional": "PBE-GGA",
  "state": "optimized geometry",
  "ef_mev_per_atom": -596,
  "lattice_angstrom": [[0.000, 3.618, 3.618], [3.618, 0.000, 3.618], [3.618, 3.618, 0.000]],
  "species": ["Gd", "Y", "Sn", "Ir"],
  "fractional_positions": [[0.000, 0.000, 0.000], [0.500, 0.500, 0.500], [0.750, 0.750, 0.750], [0.250, 0.250, 0.250]]
}

***

{
  "formula": "LaPr3Ho",
  "functional": "PBE-GGA",
  "state": "optimized geometry",
  "ef_mev_per_atom": 172,
  "polymorph_energy_mev_per_atom": 0,
  "lattice_angstrom": [[8.901, -3.464, 0.000], [8.901, 3.464, 0.000], [-2.120, 0.000, 5.777]],
  "species": ["La", "La", "Pr", "Pr", "Pr", "Pr", "Pr", "Pr", "Ho", "Ho"],
  "fractional_positions": [[0.000, 0.000, 0.000], [0.000, 0.000, 0.500], [0.115, 0.580, 0.598], [0.226, 0.226, 0.976], [0.420, 0.885, 0.402], [0.580, 0.115, 0.598], [0.774, 0.774, 0.024], [0.885, 0.420, 0.402], [0.449, 0.449, 0.199], [0.551, 0.551, 0.801]]
}

***

{
  "formula": "ZrAs2HSe",
  "functional": "PBE-GGA",
  "state": "optimized geometry",
  "polymorph_energy_mev_per_atom": 515,
  "lattice_angstrom": [[5.236, 0.000, 0.000], [0.000, 5.236, 0.000], [0.000, 0.000, 5.216]],
  "species": ["Zr", "As", "As", "H", "Se"],
  "fractional_positions": [[0.000, 0.000, 0.000], [0.000, 0.500, 0.000], [0.500, 0.000, 0.000], [0.500, 0.500, 0.500], [0.000, 0.000, 0.500]]
}

***

{
  "formula": "ReMoAu2",
  "functional": "PBE-GGA",
  "state": "optimized geometry",
  "ef_mev_per_atom": 432,
  "polymorph_energy_mev_per_atom": 176,
  "lattice_angstrom": [[-1.938, 1.938, 4.358], [1.938, -1.938, 4.358], [1.938, 1.938, -4.358]],
  "species": ["Re", "Mo", "Au", "Au"],
  "fractional_positions": [[0.000, 0.000, 0.000], [0.500, 0.500, 0.000], [0.250, 0.750, 0.500], [0.750, 0.250, 0.500]]
}

***

Number 1: Fermi-level density of states 19.365 states/eV/f.u.. Number 2: Fermi-level density of states 1.046 states/eV/f.u.. Number 3: Fermi-level density of states 3.768 states/eV/f.u.. Number 4: Fermi-level density of states 3.040 states/eV/f.u.. Number 5: Fermi-level density of states 8.305 states/eV/f.u.. Number 6: Fermi-level density of states 4.208 states/eV/f.u.. Number 7: Fermi-level density of states 2.441 states/eV/f.u..